(1)
Na2GaNF (PBE, relaxed); space group = P4/mmm (123); DOS(E_F) = 1.4 states/eV/f.u.; crystal system = tetragonal; V = 80 Å³ per cell; E_tot = -3.44 eV per atom
1.0
4.120 0.000 0.000
0.000 4.120 0.000
0.000 0.000 4.736
Na Ga N F
2 1 1 1
direct
0.000 0.500 0.000 Na
0.500 0.000 0.000 Na
0.000 0.000 0.500 Ga
0.500 0.500 0.500 N
0.000 0.000 0.000 F


(2)
NaGaNF2 (PBE, relaxed); space group = P4/mmm (123); energy relative to the lowest polymorph listed for this composition = 0 meV/atom; DOS(E_F) = 3.1 states/eV/f.u.; crystal system = tetragonal; V = 65 Å³ per cell
1.0
4.165 0.000 0.000
0.000 4.165 0.000
0.000 0.000 3.721
Na Ga N F
1 1 1 2
direct
0.000 0.000 0.000 Na
0.500 0.500 0.500 Ga
0.500 0.500 0.000 N
0.000 0.500 0.500 F
0.500 0.000 0.500 F


(3)
NbGaNF2 (PBE, relaxed); space group = P4/mmm (123); energy relative to the lowest polymorph listed for this composition = 0 meV/atom; DOS(E_F) = 1.0 states/eV/f.u.; crystal system = tetragonal; V = 75 Å³ per cell
1.0
4.309 0.000 0.000
0.000 4.309 0.000
0.000 0.000 4.042
Nb Ga N F
1 1 1 2
direct
0.000 0.000 0.000 Nb
0.500 0.500 0.500 Ga
0.000 0.000 0.500 N
0.000 0.500 0.000 F
0.500 0.000 0.000 F


(4)
NbGaNF2 (PBE, relaxed); space group = P4/mmm (123); energy relative to the lowest polymorph listed for this composition = 763 meV/atom; DOS(E_F) = 3.6 states/eV/f.u.; crystal system = tetragonal; V = 61 Å³ per cell
1.0
3.917 0.000 0.000
0.000 3.917 0.000
0.000 0.000 4.000
Nb Ga N F
1 1 1 2
direct
0.000 0.000 0.000 Nb
0.500 0.500 0.500 Ga
0.500 0.500 0.000 N
0.000 0.500 0.500 F
0.500 0.000 0.500 F


(5)
NbGaN2F (PBE, relaxed); space group = P4/mmm (123); energy relative to the lowest polymorph listed for this composition = 0 meV/atom; DOS(E_F) = 2.2 states/eV/f.u.; crystal system = tetragonal; V = 71 Å³ per cell
1.0
4.097 0.000 0.000
0.000 4.097 0.000
0.000 0.000 4.211
Nb Ga N F
1 1 2 1
direct
0.000 0.000 0.000 Nb
0.500 0.500 0.500 Ga
0.000 0.500 0.000 N
0.500 0.000 0.000 N
0.000 0.000 0.500 F


(6)
NbGaN2F (PBE, relaxed); space group = P4/mmm (123); energy relative to the lowest polymorph listed for this composition = 590 meV/atom; DOS(E_F) = 3.2 states/eV/f.u.; crystal system = tetragonal; V = 56 Å³ per cell
1.0
3.934 0.000 0.000
0.000 3.934 0.000
0.000 0.000 3.620
Nb Ga N F
1 1 2 1
direct
0.000 0.000 0.000 Nb
0.500 0.500 0.500 Ga
0.000 0.500 0.500 N
0.500 0.000 0.500 N
0.500 0.500 0.000 F